Compound: Pb2SO5
Source: Alexandria
Functional: PBE-GGA
Structure: relaxed

abc: 13.9685 5.7985 7.1915
angles: 90.00 114.66 90.00
With the nearest neighbours (Å) after each atom.
Space group C2/m (No. 12)
Asymmetric unit:
Pb 0.0269 0.0000 0.2699 [4 per cell]  3 O 2.31-2.54
Pb 0.1451 0.5000 0.0962 [4 per cell]  3 O 2.36-2.61
S 0.1719 0.5000 0.6564 [4 per cell]  4 O 1.49-1.50
O 0.0000 0.2474 0.0000 [4 per cell]  4 Pb 2.31-2.36
O 0.1133 0.5000 0.4291 [4 per cell]  1 S 1.49
O 0.1442 0.2897 0.7447 [8 per cell]  1 S 1.50
O 0.2115 0.0000 0.2828 [4 per cell]  1 S 1.50

- total moment (μB/f.u.) = 0.0
- formation energy without anion corrections (eV/atom) = -1.399
- electronic total energy (eV/cell) = -190.10
- energy above the most stable polymorph in this dataset (eV/atom) = 0.000



Compound: Pb2SO6
Source: Alexandria
Functional: PBE-GGA
Structure: relaxed

abc: 5.1109 5.1109 9.4315
angles: 90.00 90.00 90.00
With the nearest neighbours (Å) after each atom.
Space group P4_2/mnm (No. 136)
Asymmetric unit:
Pb 0.0000 0.0000 0.1611 [4 per cell]  6 O 2.30-2.47
S 0.0000 0.0000 0.5000 [2 per cell]  6 O 1.66-1.71
O 0.1651 0.1651 0.3696 [8 per cell]  1 S 1.71
O 0.2302 0.7698 0.5000 [4 per cell]  1 S 1.66

- total moment (μB/f.u.) = 0.0
- formation energy without anion corrections (eV/atom) = -0.681
- electronic total energy (eV/cell) = -94.84



Compound: Pb2SO5
Source: Alexandria
Functional: PBE-GGA
Structure: relaxed

abc: 7.4544 8.9336 7.9194
angles: 90.00 90.00 90.00
With the nearest neighbours (Å) after each atom.
Space group Fmm2 (No. 42)
Asymmetric unit:
Pb 0.2500 0.2500 0.0000 [8 per cell]  4 O 2.46-2.47
S 0.0000 0.0000 0.2095 [4 per cell]  3 O 1.51-1.56
O 0.0000 0.0000 0.3997 [4 per cell]  1 S 1.51
O 0.0000 0.1989 0.1942 [8 per cell]  1 S 1.78
O 0.1856 0.0000 0.1194 [8 per cell]  1 S 1.56

- total moment (μB/f.u.) = 0.0
- formation energy without anion corrections (eV/atom) = -1.119
- electronic total energy (eV/cell) = -181.15
- energy above the most stable polymorph in this dataset (eV/atom) = 0.280



Compound: PbS3O
Source: Alexandria
Functional: PBE-GGA
Structure: relaxed

abc: 5.2212 5.2212 5.2212
angles: 90.00 90.00 90.00
With the nearest neighbours (Å) after each atom.
Space group Pm-3m (No. 221)
Asymmetric unit:
Pb 0.0000 0.0000 0.0000 [1 per cell]  6 S 2.61
S 0.0000 0.0000 0.5000 [3 per cell]  2 Pb 2.61
O 0.5000 0.5000 0.5000 [1 per cell]  12 S 3.69

- total moment (μB/f.u.) = 2.4
- formation energy without anion corrections (eV/atom) = 1.507
- electronic total energy (eV/cell) = -13.51
- energy above the most stable polymorph in this dataset (eV/atom) = 1.072



Compound: Pb4SO8
Source: Alexandria
Functional: PBE-GGA
Structure: relaxed

abc: 5.7952 8.1249 10.9813
angles: 74.05 79.88 77.87
With the nearest neighbours (Å) after each atom.
Space group P-1 (No. 2)
Asymmetric unit:
Pb 0.1057 0.4894 0.1916 [2 per cell]  4 O 2.40-2.57
Pb 0.2152 0.0821 0.5574 [2 per cell]  4 O 2.32-2.45
Pb 0.2326 0.9423 0.1713 [2 per cell]  2 O 2.35-2.39
Pb 0.2551 0.5996 0.4481 [2 per cell]  4 O 2.21-2.31
S 0.2958 0.7667 0.8605 [2 per cell]  4 O 1.48-1.52
O 0.0269 0.2496 0.7139 [2 per cell]  4 Pb 2.35-2.53, 1 O 2.35
O 0.0940 0.3747 0.4251 [2 per cell]  4 Pb 2.25-2.47
O 0.1388 0.8183 0.7537 [2 per cell]  1 S 1.52
O 0.1958 0.8924 0.4231 [2 per cell]  3 Pb 2.28-2.44
O 0.2223 0.8998 0.9368 [2 per cell]  1 S 1.49
O 0.2604 0.5922 0.9389 [2 per cell]  1 S 1.48
O 0.3785 0.6391 0.2419 [2 per cell]  3 Pb 2.21-2.40, 1 O 2.35
O 0.4516 0.2315 0.1993 [2 per cell]  1 S 1.50

- total moment (μB/f.u.) = 1.0
- formation energy without anion corrections (eV/atom) = -1.079
- electronic total energy (eV/cell) = -145.30



Compound: Pb3SO6
Source: Alexandria
Functional: PBE-GGA
Structure: relaxed

abc: 5.9184 7.4729 8.3177
angles: 104.08 91.63 91.90
With the nearest neighbours (Å) after each atom.
Space group P-1 (No. 2)
Asymmetric unit:
Pb 0.2246 0.2689 0.1573 [2 per cell]  3 O 2.30-2.52
Pb 0.2544 0.4241 0.6216 [2 per cell]  4 O 2.39-2.47
Pb 0.2598 0.8884 0.5854 [2 per cell]  2 O 2.23
S 0.2747 0.7967 0.1441 [2 per cell]  4 O 1.48-1.52
O 0.0103 0.6726 0.6213 [2 per cell]  4 Pb 2.23-2.47
O 0.1069 0.9486 0.1801 [2 per cell]  1 S 1.51
O 0.2233 0.6708 0.9795 [2 per cell]  1 S 1.48
O 0.2545 0.6900 0.2768 [2 per cell]  1 S 1.52
O 0.4918 0.3187 0.3791 [2 per cell]  4 Pb 2.23-2.47
O 0.4929 0.1172 0.8471 [2 per cell]  1 S 1.49

- total moment (μB/f.u.) = 0.0
- formation energy without anion corrections (eV/atom) = -1.342
- electronic total energy (eV/cell) = -116.83
- energy above the most stable polymorph in this dataset (eV/atom) = 0.001



Compound: PbS2O8
Source: Alexandria
Functional: PBE-GGA
Structure: relaxed

abc: 5.3947 5.3947 6.9419
angles: 90.00 90.00 120.00
With the nearest neighbours (Å) after each atom.
Space group P-3m1 (No. 164)
Asymmetric unit:
Pb 0.0000 0.0000 0.0000 [1 per cell]  6 O 2.23
S 0.3333 0.6667 0.7215 [2 per cell]  4 O 1.45-1.50
O 0.1807 0.3614 0.7897 [6 per cell]  1 S 1.50
O 0.3333 0.6667 0.5131 [2 per cell]  1 S 1.45

- total moment (μB/f.u.) = 0.0
- formation energy without anion corrections (eV/atom) = -1.026
- electronic total energy (eV/cell) = -62.91



Compound: PbSO3
Source: Alexandria
Functional: PBE-GGA
Structure: relaxed

abc: 4.1892 4.1892 4.1892
angles: 90.00 90.00 90.00
With the nearest neighbours (Å) after each atom.
Space group Pm-3m (No. 221)
Asymmetric unit:
Pb 0.0000 0.0000 0.0000 [1 per cell]  6 O 2.09
S 0.5000 0.5000 0.5000 [1 per cell]  12 O 2.96
O 0.0000 0.0000 0.5000 [3 per cell]  2 Pb 2.09

- total moment (μB/f.u.) = 0.0
- formation energy without anion corrections (eV/atom) = 0.497
- electronic total energy (eV/cell) = -20.23



Compound: Pb3SO6
Source: Alexandria
Functional: PBE-GGA
Structure: relaxed

abc: 10.4419 12.2608 6.0094
angles: 90.00 90.00 90.00
With the nearest neighbours (Å) after each atom.
Space group Cmcm (No. 63)
Asymmetric unit:
Pb 0.0000 0.1021 0.2500 [4 per cell]  4 O 2.45
Pb 0.2364 0.4067 0.2500 [8 per cell]  3 O 2.27-2.40
S 0.0000 0.3548 0.7500 [4 per cell]  4 O 1.48-1.51
O 0.0000 0.2871 0.5460 [8 per cell]  1 S 1.48
O 0.1184 0.4254 0.7500 [8 per cell]  1 S 1.51
O 0.1420 0.0000 0.0000 [8 per cell]  4 Pb 2.27-2.45

- total moment (μB/f.u.) = 0.0
- formation energy without anion corrections (eV/atom) = -1.320
- electronic total energy (eV/cell) = -232.80
- energy above the most stable polymorph in this dataset (eV/atom) = 0.022



Compound: PbSO3
Source: Alexandria
Functional: PBE-GGA
Structure: relaxed

abc: 4.5548 5.4496 6.8021
angles: 89.29 70.59 87.92
With the nearest neighbours (Å) after each atom.
Space group P1 (No. 1)
Asymmetric unit:
Pb 0.0000 0.0000 0.0000 [1 per cell]  7 O 2.58-2.86
Pb 0.2900 0.5002 0.4217 [1 per cell]  7 O 2.57-2.86
S 0.5259 0.5266 0.8939 [1 per cell]  3 O 1.54-1.57
S 0.7114 0.0268 0.5283 [1 per cell]  3 O 1.54-1.56
O 0.2168 0.5532 0.8478 [1 per cell]  1 S 1.54
O 0.3567 0.0532 0.5746 [1 per cell]  1 S 1.54
O 0.4820 0.3088 0.0501 [1 per cell]  1 S 1.56
O 0.5114 0.7559 0.0335 [1 per cell]  1 S 1.57
O 0.8228 0.8093 0.3720 [1 per cell]  1 S 1.56
O 0.8354 0.2562 0.3887 [1 per cell]  1 S 1.56

- total moment (μB/f.u.) = 0.0
- formation energy without anion corrections (eV/atom) = -1.284
- electronic total energy (eV/cell) = -58.26



Compound: PbSO3
Source: Alexandria
Functional: PBE-GGA
Structure: relaxed

abc: 4.5622 5.4147 6.5190
angles: 90.00 106.78 90.00
With the nearest neighbours (Å) after each atom.
Space group P2_1/m (No. 11)
Asymmetric unit:
Pb 0.1393 0.2500 0.2814 [2 per cell]  7 O 2.60-2.89
S 0.4138 0.2500 0.8251 [2 per cell]  3 O 1.54-1.56
O 0.2351 0.7500 0.1297 [2 per cell]  1 S 1.54
O 0.3035 0.0253 0.6733 [4 per cell]  1 S 1.56

- total moment (μB/f.u.) = 0.0
- formation energy without anion corrections (eV/atom) = -1.296
- electronic total energy (eV/cell) = -58.38



Compound: PbSO3
Source: Alexandria
Functional: PBE-GGA
Structure: relaxed

abc: 8.8153 9.6995 4.6683
angles: 90.00 114.57 90.00
With the nearest neighbours (Å) after each atom.
Space group Cm (No. 8)
Asymmetric unit:
Pb 0.0000 0.1937 0.0000 [4 per cell]  5 O 2.48-2.74
S 0.2590 0.5000 0.2488 [2 per cell]  3 O 1.54-1.58
S 0.2819 0.0000 0.6942 [2 per cell]  3 O 1.55-1.56
O 0.1554 0.0000 0.3411 [2 per cell]  1 S 1.56
O 0.2348 0.1291 0.8336 [4 per cell]  1 S 1.55
O 0.3044 0.5000 0.9548 [2 per cell]  1 S 1.58
O 0.3492 0.3696 0.4292 [4 per cell]  1 S 1.54

- total moment (μB/f.u.) = 0.0
- formation energy without anion corrections (eV/atom) = -1.228
- electronic total energy (eV/cell) = -115.39



- formation energy without anion corrections of number 3 (Pb2SO5)?
  -1.119 eV/atom